No. 1
! YZrMn2, relaxed, DFT PBE; values from VASP
! **E_tot**: -32.19 eV per cell
! **Space group**: No. 119
! **DFT formation energy**: 1.160 eV/f.u.
&SYSTEM
  ibrav = 0, nat = 4, ntyp = 3
/
ATOMIC_SPECIES
Y 88.91 Y.upf
Zr 91.22 Zr.upf
Mn 54.94 Mn.upf
CELL_PARAMETERS angstrom
-2.1054 2.1054 4.4895
2.1054 -2.1054 4.4895
2.1054 2.1054 -4.4895
ATOMIC_POSITIONS angstrom
Y 0.0000 0.0000 0.0000
Zr 2.1054 0.0000 2.2448
Mn 0.0000 0.0000 4.4895
Mn 0.0000 2.1054 2.2448

=====

No. 2
! YZr2Mn, relaxed, DFT PBE; values from VASP
! **ΔE to the lowest computed polymorph**: 305 meV per atom
! **E_tot**: -31.20 eV per cell
! **Space group**: No. 225
! **DFT formation energy**: 1.534 eV/f.u.
&SYSTEM
  ibrav = 0, nat = 4, ntyp = 3
/
ATOMIC_SPECIES
Y 88.91 Y.upf
Zr 91.22 Zr.upf
Mn 54.94 Mn.upf
CELL_PARAMETERS angstrom
0.0000 3.4448 3.4448
3.4448 0.0000 3.4448
3.4448 3.4448 0.0000
ATOMIC_POSITIONS angstrom
Y 0.0000 0.0000 0.0000
Zr 1.7224 1.7224 1.7224
Zr 5.1671 5.1671 5.1671
Mn 3.4448 3.4448 3.4448

=====

No. 3
! YZrMn2, relaxed, DFT PBE; values from VASP
! **E_tot**: -32.71 eV per cell
! **Space group**: No. 99
! **DFT formation energy**: 0.638 eV/f.u.
&SYSTEM
  ibrav = 0, nat = 4, ntyp = 3
/
ATOMIC_SPECIES
Y 88.91 Y.upf
Zr 91.22 Zr.upf
Mn 54.94 Mn.upf
CELL_PARAMETERS angstrom
3.0497 0.0000 0.0000
0.0000 3.0497 0.0000
0.0000 0.0000 8.2680
ATOMIC_POSITIONS angstrom
Y 0.0000 0.0000 0.0000
Zr 1.5249 1.5249 3.0033
Mn 0.0000 0.0000 4.9452
Mn 1.5249 1.5249 6.1327

=====

No. 4
! YZrMn2, relaxed, DFT PBE; values from VASP
! **E_tot**: -31.95 eV per cell
! **Space group**: No. 216
! **DFT formation energy**: 1.406 eV/f.u.
&SYSTEM
  ibrav = 0, nat = 4, ntyp = 3
/
ATOMIC_SPECIES
Y 88.91 Y.upf
Zr 91.22 Zr.upf
Mn 54.94 Mn.upf
CELL_PARAMETERS angstrom
0.0000 3.4073 3.4073
3.4073 0.0000 3.4073
3.4073 3.4073 0.0000
ATOMIC_POSITIONS angstrom
Y 0.0000 0.0000 0.0000
Zr 5.1109 5.1109 5.1109
Mn 1.7036 1.7036 1.7036
Mn 3.4073 3.4073 3.4073

=====

No. 5
! YZr2Mn, relaxed, DFT PBE; values from VASP
! **ΔE to the lowest computed polymorph**: 33 meV per atom
! **E_tot**: -32.28 eV per cell
! **Space group**: No. 99
! **DFT formation energy**: 0.446 eV/f.u.
&SYSTEM
  ibrav = 0, nat = 4, ntyp = 3
/
ATOMIC_SPECIES
Y 88.91 Y.upf
Zr 91.22 Zr.upf
Mn 54.94 Mn.upf
CELL_PARAMETERS angstrom
3.4495 0.0000 0.0000
0.0000 3.4495 0.0000
0.0000 0.0000 7.5431
ATOMIC_POSITIONS angstrom
Y 0.0000 0.0000 0.0000
Zr 0.0000 0.0000 4.2996
Zr 1.7247 1.7247 2.3538
Mn 1.7247 1.7247 5.6126

=====

No. 6
! YZr2Mn, relaxed, DFT PBE; values from VASP
! **ΔE to the lowest computed polymorph**: 15 meV per atom
! **E_tot**: -32.35 eV per cell
! **Space group**: No. 123
! **DFT formation energy**: 0.375 eV/f.u.
&SYSTEM
  ibrav = 0, nat = 4, ntyp = 3
/
ATOMIC_SPECIES
Y 88.91 Y.upf
Zr 91.22 Zr.upf
Mn 54.94 Mn.upf
CELL_PARAMETERS angstrom
3.2360 0.0000 0.0000
0.0000 3.2360 0.0000
0.0000 0.0000 8.3824
ATOMIC_POSITIONS angstrom
Y 0.0000 0.0000 0.0000
Zr 1.6180 1.6180 2.6734
Zr 1.6180 1.6180 5.7090
Mn 0.0000 0.0000 4.1912

=====

No. 7
! YZrMn2, relaxed, DFT PBE; values from VASP
! **E_tot**: -31.60 eV per cell
! **Space group**: No. 166
! **DFT formation energy**: 1.749 eV/f.u.
&SYSTEM
  ibrav = 0, nat = 4, ntyp = 3
/
ATOMIC_SPECIES
Y 88.91 Y.upf
Zr 91.22 Zr.upf
Mn 54.94 Mn.upf
CELL_PARAMETERS angstrom
1.6540 0.9549 8.5809
-1.6540 0.9549 8.5809
0.0000 -1.9099 8.5809
ATOMIC_POSITIONS angstrom
Y 0.0000 0.0000 0.0000
Zr 0.0000 0.0000 12.8714
Mn 0.0000 0.0000 6.2637
Mn 0.0000 0.0000 19.4791

=====

No. 8
! YZr2Mn, relaxed, DFT PBE; values from VASP
! **ΔE to the lowest computed polymorph**: 185 meV per atom
! **E_tot**: -31.68 eV per cell
! **Space group**: No. 160
! **DFT formation energy**: 1.053 eV/f.u.
&SYSTEM
  ibrav = 0, nat = 4, ntyp = 3
/
ATOMIC_SPECIES
Y 88.91 Y.upf
Zr 91.22 Zr.upf
Mn 54.94 Mn.upf
CELL_PARAMETERS angstrom
1.6257 0.9386 10.0085
-1.6257 0.9386 10.0085
0.0000 -1.8771 10.0085
ATOMIC_POSITIONS angstrom
Y 0.0000 0.0000 0.0000
Zr 0.0000 0.0000 15.4155
Zr 0.0000 0.0000 22.8639
Mn 0.0000 0.0000 7.5621

=====

No. 9
! YZr2Mn, relaxed, DFT PBE; values from VASP
! **ΔE to the lowest computed polymorph**: 0 meV per atom
! **E_tot**: -32.42 eV per cell
! **Space group**: No. 71
! **DFT formation energy**: 0.313 eV/f.u.
&SYSTEM
  ibrav = 0, nat = 4, ntyp = 3
/
ATOMIC_SPECIES
Y 88.91 Y.upf
Zr 91.22 Zr.upf
Mn 54.94 Mn.upf
CELL_PARAMETERS angstrom
-1.6732 2.6022 4.9771
1.6732 -2.6022 4.9771
1.6732 2.6022 -4.9771
ATOMIC_POSITIONS angstrom
Y 0.0000 0.0000 0.0000
Zr 1.6732 0.0000 2.9767
Zr 0.0000 2.6022 2.0004
Mn 0.0000 0.0000 4.9771

=====

No. 10
! YZr3Mn, relaxed, DFT PBE; values from VASP
! **ΔE to the lowest computed polymorph**: 1798 meV per atom
! **E_tot**: -31.20 eV per cell
! **Space group**: No. 221
! **DFT formation energy**: 10.073 eV/f.u.
&SYSTEM
  ibrav = 0, nat = 5, ntyp = 3
/
ATOMIC_SPECIES
Y 88.91 Y.upf
Zr 91.22 Zr.upf
Mn 54.94 Mn.upf
CELL_PARAMETERS angstrom
5.1105 0.0000 0.0000
0.0000 5.1105 0.0000
0.0000 0.0000 5.1105
ATOMIC_POSITIONS angstrom
Y 0.0000 0.0000 0.0000
Zr 0.0000 0.0000 2.5552
Zr 0.0000 2.5552 0.0000
Zr 2.5552 0.0000 0.0000
Mn 2.5552 2.5552 2.5552